1.
Ac6Pr2Tl | PBE | relaxed

Computed properties:
- D(E_F) (states/eV/cell) = 31.5
- size of the total moment (μB per cell) = 0.00
- energy of formation from the pure elements (eV per atom) = -0.018
- E (eV per atom) = -4.082
- E above lowest polymorph (meV per atom) = 51
- ρ (g/cm³) = 8.314

POSCAR file:
```
Ac6Pr2Tl
1.0
11.2944 0.0000 0.0000
0.0000 11.2944 0.0000
0.0000 0.0000 5.7875
Ac Pr Tl
12 4 2
Cartesian
0.3970 3.5701 0.0000 Ac
1.4538 9.8406 2.8937 Ac
2.0771 6.0442 2.8937 Ac
3.5701 0.3970 0.0000 Ac
4.1934 4.1934 0.0000 Ac
5.2502 9.2173 2.8937 Ac
6.0442 2.0771 2.8937 Ac
7.1010 7.1010 0.0000 Ac
7.7243 10.8974 0.0000 Ac
9.2173 5.2502 2.8937 Ac
9.8406 1.4538 2.8937 Ac
10.8974 7.7243 0.0000 Ac
2.3847 2.3847 2.8937 Pr
3.2625 8.0318 0.0000 Pr
8.0318 3.2625 0.0000 Pr
8.9097 8.9097 2.8937 Pr
0.0000 0.0000 0.0000 Tl
5.6472 5.6472 2.8937 Tl
```


2.
LiAl2H | PBE | relaxed

Computed properties:
- D(E_F) (states/eV/cell) = 2.1
- size of the total moment (μB per cell) = 0.00
- E (eV per atom) = -3.035
- E above lowest polymorph (meV per atom) = 0
- ρ (g/cm³) = 1.900

POSCAR file:
```
LiAl2H
1.0
-3.3684 3.3684 2.3849
3.3684 -3.3684 2.3849
3.3684 3.3684 -2.3849
Li Al H
2 4 2
Cartesian
0.0000 0.0000 0.0000 Li
0.0000 3.3684 1.1925 Li
1.6842 -1.0398 1.7887 Al
2.3287 1.6842 0.5962 Al
1.6842 4.4082 -0.5962 Al
1.0398 1.6842 2.9812 Al
3.3684 0.0000 1.1925 H
0.0000 0.0000 2.3849 H
```


3.
HPtRhI2 | PBE | relaxed

Computed properties:
- D(E_F) (states/eV/cell) = 4.0
- size of the total moment (μB per cell) = 0.00
- E (eV per atom) = -3.514
- ρ (g/cm³) = 9.621

POSCAR file:
```
HPtRhI2
1.0
5.3333 0.0000 0.0000
0.0000 5.3333 0.0000
0.0000 0.0000 3.3543
H Pt Rh I
1 1 1 2
Cartesian
0.0000 0.0000 0.0000 H
2.6666 2.6666 0.0000 Pt
0.0000 0.0000 1.6771 Rh
0.0000 2.6666 1.6771 I
2.6666 0.0000 1.6771 I
```


4.
AlTlAgCl6 | PBE | relaxed

Computed properties:
- D(E_F) (states/eV/cell) = 2.1
- ΔE_f (raw) (kcal/mol of atoms) = -23.080
- size of the total moment (μB per cell) = 0.98
- E (eV per atom) = -3.227
- ρ (g/cm³) = 3.503

POSCAR file:
```
AlTlAgCl6
1.0
6.4662 0.0000 0.0000
-2.7887 5.8376 0.0000
-0.2358 -0.3635 6.9309
Al Tl Ag Cl
1 1 1 6
Cartesian
0.0000 0.0000 0.0000 Al
0.1638 3.7189 3.4683 Tl
3.3033 1.9982 0.0013 Ag
1.7146 0.0012 1.4850 Cl
0.8580 1.3981 5.7215 Cl
2.5610 4.0907 1.2112 Cl
4.3324 -0.0113 5.5151 Cl
5.3337 1.5596 1.4198 Cl
4.1723 3.9280 5.4402 Cl
```


5.
CsZrMn2Cl8 | PBE | relaxed

Computed properties:
- D(E_F) (states/eV/cell) = 3.9
- ΔE_f (raw) (kcal/mol of atoms) = -31.861
- size of the total moment (μB per cell) = 9.00
- E (eV per atom) = -4.924
- ρ (g/cm³) = 2.653

POSCAR file:
```
CsZrMn2Cl8
1.0
3.1792 1.8355 11.0427
-3.1792 1.8355 11.0427
0.0000 -3.6710 11.0427
Cs Zr Mn Cl
1 1 2 8
Cartesian
0.0000 0.0000 0.0000 Cs
0.0000 0.0000 16.5641 Zr
0.0000 0.0000 7.9013 Mn
0.0000 0.0000 25.2269 Mn
-0.9144 -1.7390 14.9171 Cl
-1.0488 -1.6614 18.2111 Cl
0.0000 0.0000 10.1875 Cl
-1.0488 1.6614 14.9171 Cl
-0.9144 1.7390 18.2112 Cl
0.0000 0.0000 22.9408 Cl
1.9632 0.0776 14.9171 Cl
1.9632 -0.0776 18.2112 Cl
```


6.
Sn3Pd12Pt4 | PBE | relaxed

Computed properties:
- D(E_F) (states/eV/cell) = 20.8
- size of the total moment (μB per cell) = 0.00
- energy of formation from the pure elements (eV per atom) = 0.158
- E (eV per atom) = -5.025
- ρ (g/cm³) = 9.148

POSCAR file:
```
Sn3Pd12Pt4
1.0
-4.7846 4.7846 4.7846
4.7846 -4.7846 4.7846
4.7846 4.7846 -4.7846
Sn Pd Pt
3 12 4
Cartesian
4.7846 0.0000 0.0000 Sn
0.0000 4.7846 0.0000 Sn
0.0000 0.0000 4.7846 Sn
4.7846 2.3674 -1.3697 Pd
3.4149 0.0000 2.4172 Pd
6.1543 0.0000 2.4172 Pd
2.4172 3.4149 0.0000 Pd
2.3674 -1.3697 4.7846 Pd
4.7846 2.3674 1.3697 Pd
0.0000 2.4172 3.4149 Pd
2.4172 6.1543 0.0000 Pd
2.3674 1.3697 4.7846 Pd
-1.3697 4.7846 2.3674 Pd
1.3697 4.7846 2.3674 Pd
0.0000 2.4172 6.1543 Pd
2.3923 2.3923 -2.3923 Pt
2.3923 -2.3923 2.3923 Pt
-2.3923 2.3923 2.3923 Pt
2.3923 2.3923 2.3923 Pt
```


7.
Na2AlBi2 | PBE | relaxed

Computed properties:
- D(E_F) (states/eV/cell) = 3.5
- size of the total moment (μB per cell) = 0.00
- energy of formation from the pure elements (eV per atom) = 0.030
- E (eV per atom) = -2.798
- E above lowest polymorph (meV per atom) = 224
- ρ (g/cm³) = 5.716

POSCAR file:
```
Na2AlBi2
1.0
9.4875 0.0000 0.0000
0.0000 9.4875 0.0000
0.0000 0.0000 3.1688
Na Al Bi
4 2 4
Cartesian
1.1449 3.5988 0.0000 Na
3.5988 8.3426 0.0000 Na
5.8887 1.1449 0.0000 Na
8.3426 5.8887 0.0000 Na
0.0000 0.0000 1.5844 Al
4.7438 4.7438 1.5844 Al
1.6933 6.4370 1.5844 Bi
3.0505 1.6933 1.5844 Bi
6.4370 7.7943 1.5844 Bi
7.7943 3.0505 1.5844 Bi
```


8.
La2Nd7Y4 | PBE | relaxed

Computed properties:
- D(E_F) (states/eV/cell) = 17.1
- size of the total moment (μB per cell) = 0.00
- energy of formation from the pure elements (eV per atom) = 0.160
- E (eV per atom) = -5.154
- ρ (g/cm³) = 6.023

POSCAR file:
```
La2Nd7Y4
1.0
6.2763 0.0000 0.0000
-3.1382 5.4355 0.0000
0.0000 0.0000 13.2784
La Nd Y
2 7 4
Cartesian
0.0000 3.6236 0.0000 La
3.1382 1.8118 0.0000 La
0.0000 0.0000 0.0000 Nd
-1.1686 2.0242 2.9812 Nd
-1.9695 3.4113 10.2972 Nd
2.3373 0.0000 2.9812 Nd
1.1686 2.0242 10.2972 Nd
3.9390 0.0000 10.2972 Nd
1.9695 3.4113 2.9812 Nd
0.0000 0.0000 5.2144 Y
0.0000 0.0000 8.0639 Y
0.0000 3.6236 6.6392 Y
3.1382 1.8118 6.6392 Y
```


9.
RbBi3Pd | PBE | relaxed

Computed properties:
- D(E_F) (states/eV/cell) = 6.1
- size of the total moment (μB per cell) = 0.00
- energy of formation from the pure elements (eV per atom) = -0.261
- E (eV per atom) = -3.821
- E above lowest polymorph (meV per atom) = 0
- ρ (g/cm³) = 8.340

POSCAR file:
```
RbBi3Pd
1.0
10.1741 0.0000 0.0000
0.0000 4.7416 0.0000
0.0000 0.0000 13.5174
Rb Bi Pd
4 12 4
Cartesian
1.7682 1.1854 0.1524 Rb
3.3189 3.5562 6.9111 Rb
6.8552 1.1854 6.6063 Rb
8.4059 3.5562 13.3650 Rb
0.6487 1.1854 7.7861 Bi
1.4476 3.5562 10.6331 Bi
1.5643 3.5562 3.2615 Bi
3.5227 1.1854 10.0202 Bi
3.6395 1.1854 3.8744 Bi
4.4384 3.5562 1.0274 Bi
5.7357 1.1854 12.4900 Bi
6.5346 3.5562 9.6430 Bi
6.6514 3.5562 3.4972 Bi
8.6098 1.1854 10.2559 Bi
8.7265 1.1854 2.8843 Bi
9.5254 3.5562 5.7313 Bi
0.7720 1.1854 4.8575 Pd
4.3150 3.5562 11.6162 Pd
5.8591 1.1854 1.9012 Pd
9.4021 3.5562 8.6599 Pd
```


10.
Sc3Be4 | PBE | relaxed

Computed properties:
- D(E_F) (states/eV/cell) = 5.3
- size of the total moment (μB per cell) = 0.00
- energy of formation from the pure elements (eV per atom) = 0.613
- E (eV per atom) = -4.230
- E above lowest polymorph (meV per atom) = 513
- ρ (g/cm³) = 2.287

POSCAR file:
```
Sc3Be4
1.0
5.8332 0.0000 0.0000
-2.9166 5.0517 0.0000
0.0000 0.0000 4.2121
Sc Be
3 4
Cartesian
-1.4583 2.5259 0.0000 Sc
2.9166 0.0000 0.0000 Sc
1.4583 2.5259 0.0000 Sc
0.0000 0.0000 1.0079 Be
0.0000 0.0000 3.2042 Be
0.0000 3.3678 2.1061 Be
2.9166 1.6839 2.1061 Be
```


11.
NpNiPdPb | PBE | relaxed

Computed properties:
- D(E_F) (states/eV/cell) = 12.0
- size of the total moment (μB per cell) = 3.49
- energy of formation from the pure elements (eV per atom) = -0.003
- E (eV per atom) = -6.909
- ρ (g/cm³) = 12.893

POSCAR file:
```
NpNiPdPb
1.0
0.0000 3.3981 3.3981
3.3981 0.0000 3.3981
3.3981 3.3981 0.0000
Np Ni Pd Pb
1 1 1 1
Cartesian
0.0000 0.0000 0.0000 Np
5.0971 5.0971 5.0971 Ni
1.6990 1.6990 1.6990 Pd
3.3981 3.3981 3.3981 Pb
```


12.
Er4TlSb | PBE | relaxed

Computed properties:
- D(E_F) (states/eV/cell) = 14.9
- ΔE_f (raw) (kcal/mol of atoms) = -6.717
- size of the total moment (μB per cell) = 0.47
- E (eV per atom) = -4.415
- ρ (g/cm³) = 8.920

POSCAR file:
```
Er4TlSb
1.0
2.7343 -10.7028 0.0000
2.7343 10.7028 0.0000
0.0000 0.0000 6.3306
Er Tl Sb
8 2 2
Cartesian
2.7343 9.2938 4.7479 Er
2.7343 6.2300 3.1752 Er
2.7343 6.2300 6.3207 Er
2.7343 2.9081 4.7479 Er
2.7343 -2.9081 1.5826 Er
2.7343 -6.2300 0.0099 Er
2.7343 -6.2300 3.1554 Er
2.7343 -9.2938 1.5826 Er
2.7343 9.1150 1.5826 Tl
2.7343 -9.1150 4.7479 Tl
2.7343 3.3090 1.5826 Sb
2.7343 -3.3090 4.7479 Sb
```


13.
GeS3 | PBE | relaxed

Computed properties:
- D(E_F) (states/eV/cell) = 1.6
- ΔE_f (raw) (kcal/mol of atoms) = -0.526
- size of the total moment (μB per cell) = 0.00
- E (eV per atom) = -4.273
- ρ (g/cm³) = 2.377

POSCAR file:
```
GeS3
1.0
3.2560 0.0000 0.0000
-1.4481 7.3548 0.0000
-1.6165 -3.2446 9.8519
Ge S
2 6
Cartesian
0.1035 0.4044 2.6893 Ge
0.0879 3.7058 7.1626 Ge
0.1036 2.1425 1.4294 S
-0.0914 -2.1525 7.2619 S
0.0958 1.0640 5.0117 S
0.0956 3.0461 4.8402 S
0.2827 6.2627 2.5900 S
0.0878 1.9677 8.4225 S
```


14.
GdLu3S6 | PBE | relaxed

Computed properties:
- ΔE_f (raw) (kcal/mol of atoms) = -47.787
- size of the total moment (μB per cell) = 14.00
- E (eV per atom) = -7.313
- ρ (g/cm³) = 6.496

POSCAR file:
```
GdLu3S6
1.0
10.8940 0.0000 0.0000
0.0000 3.8969 0.0000
-3.6194 0.0000 10.5320
Gd Lu S
2 6 12
Cartesian
-0.1885 0.9742 2.0404 Gd
7.4631 2.9226 8.4916 Gd
-0.3711 0.9742 6.1704 Lu
-0.1439 2.9226 10.5181 Lu
3.5692 0.9742 3.5048 Lu
3.7054 2.9226 7.0272 Lu
7.4185 0.9742 0.0139 Lu
7.6457 2.9226 4.3616 Lu
-0.5772 2.9226 4.2709 S
-2.2302 0.9742 10.1466 S
-0.5799 2.9226 7.8929 S
2.0303 2.9226 2.3883 S
2.2773 0.9742 5.9010 S
4.7893 0.9742 1.1812 S
2.4853 2.9226 9.3508 S
4.9973 2.9226 4.6310 S
5.2443 0.9742 8.1437 S
7.8545 0.9742 2.6391 S
9.5048 2.9226 0.3854 S
7.8518 0.9742 6.2610 S
```


15.
AlMo3Rh | PBE | relaxed

Computed properties:
- D(E_F) (states/eV/cell) = 7.8
- size of the total moment (μB per cell) = 0.00
- energy of formation from the pure elements (eV per atom) = 1.528
- E (eV per atom) = -7.189
- E above lowest polymorph (meV per atom) = 0
- ρ (g/cm³) = 7.760

POSCAR file:
```
AlMo3Rh
1.0
4.4712 0.0000 0.0000
0.0000 4.4712 0.0000
0.0000 0.0000 4.4712
Al Mo Rh
1 3 1
Cartesian
0.0000 0.0000 0.0000 Al
0.0000 0.0000 2.2356 Mo
0.0000 2.2356 0.0000 Mo
2.2356 0.0000 0.0000 Mo
2.2356 2.2356 2.2356 Rh
```


16.
Nd2EuTm | PBE | relaxed

Computed properties:
- D(E_F) (states/eV/cell) = 6.2
- size of the total moment (μB per cell) = 7.63
- energy of formation from the pure elements (eV per atom) = 0.130
- E (eV per atom) = -5.941
- E above lowest polymorph (meV per atom) = 92
- ρ (g/cm³) = 7.220

POSCAR file:
```
Nd2EuTm
1.0
0.0000 4.1228 4.1228
4.1228 0.0000 4.1228
4.1228 4.1228 0.0000
Nd Eu Tm
2 1 1
Cartesian
2.0614 2.0614 2.0614 Nd
6.1842 6.1842 6.1842 Nd
0.0000 0.0000 0.0000 Eu
4.1228 4.1228 4.1228 Tm
```


17.
YRuPb | PBE | relaxed

Computed properties:
- D(E_F) (states/eV/cell) = 3.3
- size of the total moment (μB per cell) = 0.00
- energy of formation from the pure elements (eV per atom) = 0.100
- E (eV per atom) = -6.382
- ρ (g/cm³) = 9.234

POSCAR file:
```
YRuPb
1.0
3.5415 0.0000 0.0000
-1.7708 3.0671 0.0000
0.0000 0.0000 6.5752
Y Ru Pb
1 1 1
Cartesian
0.0000 0.0000 0.0000 Y
1.7708 1.0223 4.6107 Ru
0.0000 2.0447 2.6904 Pb
```


18.
PrSbCl | PBE | relaxed

Computed properties:
- D(E_F) (states/eV/cell) = 2.7
- ΔE_f (raw) (kcal/mol of atoms) = -26.196
- size of the total moment (μB per cell) = 0.00
- E (eV per atom) = -4.719
- ρ (g/cm³) = 5.948

POSCAR file:
```
PrSbCl
1.0
5.0346 0.0000 0.0000
-2.5173 4.3601 0.0000
0.0000 0.0000 3.7915
Pr Sb Cl
1 1 1
Cartesian
0.0000 0.0000 0.0000 Pr
0.0000 2.9068 1.8957 Sb
2.5173 1.4534 0.0000 Cl
```


19.
TeAs2Au2 | PBE | relaxed

Computed properties:
- D(E_F) (states/eV/cell) = 4.5
- ΔE_f (raw) (kcal/mol of atoms) = 6.118
- size of the total moment (μB per cell) = 0.00
- E (eV per atom) = -3.534
- E above lowest polymorph (meV per atom) = 34
- ρ (g/cm³) = 10.586

POSCAR file:
```
TeAs2Au2
1.0
8.3183 0.0000 0.0000
0.0000 8.3183 0.0000
0.0000 0.0000 3.0439
Te As Au
2 4 4
Cartesian
0.0000 0.0000 0.0000 Te
4.1591 4.1591 0.0000 Te
1.0421 3.1170 1.5220 As
3.1170 7.2762 1.5220 As
5.2012 1.0421 1.5220 As
7.2762 5.2012 1.5220 As
1.3857 5.5449 0.0000 Au
2.7734 1.3857 0.0000 Au
5.5449 6.9325 0.0000 Au
6.9325 2.7734 0.0000 Au
```


20.
ZnAs2Pb | PBE | relaxed

Computed properties:
- D(E_F) (states/eV/cell) = 1.4
- size of the total moment (μB per cell) = 0.00
- energy of formation from the pure elements (eV per atom) = 0.097
- E (eV per atom) = -3.473
- ρ (g/cm³) = 7.388

POSCAR file:
```
ZnAs2Pb
1.0
4.4358 0.0000 0.0000
0.0000 3.6427 0.0000
-0.6837 0.0000 5.8765
Zn As Pb
1 2 1
Cartesian
0.0000 0.0000 0.0000 Zn
1.8711 1.8214 0.1829 As
1.8591 0.0000 4.2378 As
3.9119 1.8214 2.4965 Pb
```